(1)
5
Lattice="6.674 0.000 0.000 0.000 6.674 0.000 0.000 0.000 6.927" Properties=species:S:1:pos:R:3 comment="KRbSr2Li PBE relaxed" dos_at_fermi_per_ev_fu=5.61 total_energy_ev_per_atom=-1.278 rho_g_cm3=1.65 relative_energy_ev_per_atom=0.0000 volume_a3_per_cell=308.5 pbc="T T T"
K 0.000 0.000 0.000
Rb 3.337 3.337 0.000
Sr 0.000 3.337 3.463
Sr 3.337 0.000 3.463
Li 0.000 0.000 3.463

=====

(2)
4
Lattice="-1.850 2.037 5.083 1.850 -2.037 5.083 1.850 2.037 -5.083" Properties=species:S:1:pos:R:3 comment="ZnNiP2 PBE relaxed" dos_at_fermi_per_ev_fu=1.81 total_energy_ev_per_atom=-4.361 rho_g_cm3=4.03 volume_a3_per_cell=76.6 pbc="T T T"
Zn 0.000 0.000 0.000
Ni 0.000 0.000 5.083
P 1.850 0.000 3.811
P 0.000 2.037 1.272

=====

(3)
6
Lattice="3.551 0.000 0.000 0.000 3.551 0.000 0.000 0.000 11.573" Properties=species:S:1:pos:R:3 comment="SmMg4Cd PBE relaxed" dos_at_fermi_per_ev_fu=3.36 total_energy_ev_per_atom=-2.079 rho_g_cm3=4.10 relative_energy_ev_per_atom=0.0192 volume_a3_per_cell=145.9 pbc="T T T"
Sm 0.000 0.000 0.000
Mg 0.000 0.000 4.074
Mg 0.000 0.000 7.499
Mg 1.776 1.776 2.234
Mg 1.776 1.776 9.338
Cd 1.776 1.776 5.786

=====

(4)
5
Lattice="5.445 0.000 0.000 0.000 5.445 0.000 0.000 0.000 5.445" Properties=species:S:1:pos:R:3 comment="AgSn3Br PBE relaxed" dos_at_fermi_per_ev_fu=6.23 total_energy_ev_per_atom=-3.000 rho_g_cm3=5.59 relative_energy_ev_per_atom=0.0000 volume_a3_per_cell=161.4 e_form_raw_kj_per_mol_atoms=29.54 pbc="T T T"
Ag 0.000 0.000 0.000
Sn 0.000 0.000 2.723
Sn 0.000 2.723 0.000
Sn 2.723 0.000 0.000
Br 2.723 2.723 2.723

=====

(5)
8
Lattice="-3.532 3.532 4.964 3.532 -3.532 4.964 3.532 3.532 -4.964" Properties=species:S:1:pos:R:3 comment="LaHo2Tm5 PBE relaxed" dos_at_fermi_per_ev_fu=11.51 total_energy_ev_per_atom=-4.527 rho_g_cm3=8.80 volume_a3_per_cell=247.7 pbc="T T T"
La 0.000 0.000 0.000
Ho 3.532 0.000 0.000
Ho 0.000 3.532 0.000
Tm 1.766 1.766 -2.482
Tm 1.766 -1.766 2.482
Tm -1.766 1.766 2.482
Tm 0.000 0.000 4.964
Tm 1.766 1.766 2.482

=====

(6)
4
Lattice="2.649 0.000 0.000 0.000 4.376 0.000 -1.241 0.000 5.228" Properties=species:S:1:pos:R:3 comment="Mg2FeOs PBE relaxed" dos_at_fermi_per_ev_fu=2.65 total_energy_ev_per_atom=-5.459 rho_g_cm3=8.07 relative_energy_ev_per_atom=0.1505 volume_a3_per_cell=60.6 pbc="T T T"
Mg 0.286 0.000 1.310
Mg 1.122 0.000 3.918
Fe -0.620 2.188 2.614
Os 1.325 2.188 0.000

=====

Repeat the second record exactly.
4
Lattice="-1.850 2.037 5.083 1.850 -2.037 5.083 1.850 2.037 -5.083" Properties=species:S:1:pos:R:3 comment="ZnNiP2 PBE relaxed" dos_at_fermi_per_ev_fu=1.81 total_energy_ev_per_atom=-4.361 rho_g_cm3=4.03 volume_a3_per_cell=76.6 pbc="T T T"
Zn 0.000 0.000 0.000
Ni 0.000 0.000 5.083
P 1.850 0.000 3.811
P 0.000 2.037 1.272